No. 1
Sm5Dy2Ho | PBE | relaxed

For the energy of formation from the pure elements, the calculation gives 0.023 eV per atom. Its energy above the most stable polymorph in this dataset is 7 meV/atom.

The structure belongs to space group P-1 (No. 2); the cell edges are 6.812, 9.297 and 9.309 Å and the angles 85.66°, 71.73° and 71.75°. Symmetry generates all atoms from Sm at (0.124, 0.147, 0.480), Sm at (0.126, 0.979, 0.144), Sm at (0.127, 0.479, 0.648), Sm at (0.375, 0.603, 0.268), Sm at (0.376, 0.773, 0.606), Dy at (0.124, 0.646, 0.980), Dy at (0.376, 0.104, 0.773) and Ho at (0.374, 0.271, 0.103).



No. 2
Sm8Dy2Ho3 | PBE | relaxed

For the energy of formation from the pure elements, the calculation gives 0.214 eV per atom.

The structure belongs to space group C2/m (No. 12); the cell edges are 20.283, 7.684 and 5.675 Å and the angles 90.00°, 90.02° and 90.00°. Symmetry generates all atoms from Sm at (0.106, 0.207, 0.000), Sm at (0.132, 0.500, 0.500), Sm at (0.171, 0.000, 0.501), Dy at (0.240, 0.500, 0.999), Ho at (0.000, 0.214, 0.500) and Ho at (0.000, 0.500, 0.000).



No. 3
Sm3DyHo4 | PBE | relaxed

For the energy of formation from the pure elements, the calculation gives 0.017 eV per atom. Its energy above the most stable polymorph in this dataset is 0 meV/atom.

The structure belongs to space group Pmn2_1 (No. 31); the cell edges are 11.353, 7.283 and 6.290 Å and the angles 90.00°, 90.00° and 90.00°. Symmetry generates all atoms from Sm at (0.000, 0.127, 0.000), Sm at (0.250, 0.127, 0.334), Dy at (0.000, 0.872, 0.500), Ho at (0.000, 0.377, 0.501), Ho at (0.000, 0.622, 0.000) and Ho at (0.249, 0.623, 0.333).



No. 4
Sm2DyHo | PBE | relaxed

For the energy of formation from the pure elements, the calculation gives 0.020 eV per atom. Its energy above the most stable polymorph in this dataset is 6 meV/atom.

The structure belongs to space group Pmmn (No. 59, origin choice 2); the cell edges are 5.722, 7.306 and 6.304 Å and the angles 90.00°, 90.00° and 90.00°. Symmetry generates all atoms from Sm at (0.250, 0.000, 0.168), Dy at (0.250, 0.250, 0.665) and Ho at (0.250, 0.750, 0.665).